(1)
Here is crystalline NaCO3 at its relaxed geometry from Alexandria via LeMat-Bulk. Energies are from GGA-PBEsol.

## Properties
As for the formation energy from raw total energies: 0.298 eV/atom. For the size of the total moment, the calculation gives 0.0 μB/f.u. The value obtained for the theoretical density is 3.62 g/cm3.

Lattice parameters (Å, degrees): 3.364 3.364 3.364 90.00 90.00 90.00
Fractional positions:
O1 0.000 0.000 0.500
O2 0.500 0.000 0.000
O3 0.000 0.500 0.000
C1 0.000 0.000 0.000
Na1 0.500 0.500 0.500



(2)
Here is crystalline Mn2TcTe at its relaxed geometry from Alexandria via LeMat-Bulk. Energies are from GGA-PBEsol.

## Properties
As for the formation energy from raw total energies: 0.588 eV/atom. For the size of the total moment, the calculation gives 4.8 μB/f.u. The value obtained for the theoretical density is 9.03 g/cm3.

Lattice parameters (Å, degrees): 2.981 2.981 8.198 79.52 79.52 60.00
Each line ends with the local moment (μB).
Fractional positions:
Mn1 0.756 0.756 0.732  2.55
Mn2 0.244 0.244 0.268  2.55
Tc1 0.500 0.500 0.500  -0.30
Te1 0.000 0.000 0.000  -0.07



(3)
Here is crystalline Ag2IrSe at its relaxed geometry from Alexandria via LeMat-Bulk. Energies are from GGA-PBEsol.

## Properties
As for the formation energy from raw total energies: 0.409 eV/atom. For the size of the total moment, the calculation gives 0.0 μB/f.u. The value obtained for the theoretical density is 12.25 g/cm3.

Lattice parameters (Å, degrees): 2.969 4.522 4.915 90.00 90.00 91.15
Fractional positions:
Se1 0.500 0.000 0.500
Ir1 0.000 0.500 0.500
Ag1 0.738 0.747 0.000
Ag2 0.262 0.253 0.000



(4)
Here is crystalline Tc2PRuPb at its relaxed geometry from Alexandria via LeMat-Bulk. Energies are from GGA-PBEsol.

## Properties
For the size of the total moment, the calculation gives 1.8 μB/f.u. The value obtained for the theoretical density is 8.34 g/cm3. The calculated formation energy comes out at 8.56 eV per formula unit.

Lattice parameters (Å, degrees): 4.596 4.596 5.046 90.00 90.00 90.00
Each line ends with the local moment (μB).
Fractional positions:
Ru1 0.000 0.000 0.000  -0.02
Pb1 0.000 0.000 0.500  0.00
Tc1 0.500 0.000 0.000  0.87
Tc2 0.000 0.500 0.000  0.87
P1 0.500 0.500 0.500  -0.03



(5)
Here is crystalline KNiHg3 at its relaxed geometry from Alexandria via LeMat-Bulk. Energies are from GGA-PBEsol.

## Properties
For the size of the total moment, the calculation gives 0.0 μB/f.u. The value obtained for the theoretical density is 9.13 g/cm3. The calculated formation energy comes out at -0.59 eV per formula unit.

Lattice parameters (Å, degrees): 5.030 5.030 5.030 90.00 90.00 90.00
Fractional positions:
K1 0.500 0.500 0.500
Ni1 0.000 0.000 0.000
Hg1 0.000 0.000 0.500
Hg2 0.000 0.500 0.000
Hg3 0.500 0.000 0.000



(6)
Here is crystalline ScMn4W at its relaxed geometry from Alexandria via LeMat-Bulk. Energies are from GGA-PBEsol.

## Properties
For the size of the total moment, the calculation gives 2.6 μB/f.u. The value obtained for the theoretical density is 9.82 g/cm3. The calculated formation energy comes out at -0.28 eV per formula unit.

Lattice parameters (Å, degrees): 4.752 4.752 4.752 60.00 60.00 60.00
Each line ends with the local moment (μB).
Fractional positions:
Mn1 0.375 0.375 0.875  0.69
Mn2 0.375 0.875 0.375  0.69
Mn3 0.375 0.375 0.375  0.69
Mn4 0.875 0.375 0.375  0.69
Sc1 0.750 0.750 0.750  -0.04
W1 0.000 0.000 0.000  -0.13



(7)
Here is crystalline MgFeMo2 at its relaxed geometry from Alexandria via LeMat-Bulk. Energies are from GGA-PBEsol.

## Properties
For the size of the total moment, the calculation gives 2.0 μB/f.u. The value obtained for the theoretical density is 7.71 g/cm3. The calculated formation energy comes out at 1.27 eV per formula unit.

Lattice parameters (Å, degrees): 2.613 4.324 5.242 90.00 98.46 90.00
Each line ends with the local moment (μB).
Fractional positions:
Mo1 0.756 0.500 0.252  -0.05
Mo2 0.966 0.000 0.009  -0.04
Mg1 0.279 0.500 0.743  -0.01
Fe1 0.499 0.000 0.495  2.10



(8)
Here is crystalline ZrInCu2 at its relaxed geometry from Alexandria via LeMat-Bulk. Energies are from GGA-PBEsol.

## Properties
For the size of the total moment, the calculation gives 0.0 μB/f.u. The value obtained for the theoretical density is 8.05 g/cm3. The calculated formation energy comes out at 0.73 eV per formula unit.

Lattice parameters (Å, degrees): 2.992 2.992 9.026 80.46 80.46 60.00
Fractional positions:
In1 0.500 0.500 0.500
Cu1 0.751 0.751 0.747
Cu2 0.249 0.249 0.253
Zr1 0.000 0.000 0.000



(9)
Here is crystalline HfTlFeB2 at its relaxed geometry from Alexandria via LeMat-Bulk. Energies are from GGA-PBEsol.

## Properties
For the size of the total moment, the calculation gives 2.3 μB/f.u. The value obtained for the theoretical density is 8.91 g/cm3. The calculated formation energy comes out at 10.39 eV per formula unit.

Lattice parameters (Å, degrees): 4.259 4.259 4.732 90.00 90.00 90.00
Each line ends with the local moment (μB).
Fractional positions:
B1 0.500 0.000 0.000  0.04
B2 0.000 0.500 0.000  0.04
Hf1 0.500 0.500 0.500  -0.19
Tl1 0.000 0.000 0.000  -0.01
Fe1 0.000 0.000 0.500  2.36



(10)
Here is crystalline MgIn2Te4 at its relaxed geometry from Alexandria via LeMat-Bulk. Energies are from GGA-PBEsol.

## Properties
As for the formation energy from raw total energies: -0.429 eV/atom. For the size of the total moment, the calculation gives 0.0 μB/f.u. The value obtained for the theoretical density is 5.28 g/cm3.

Lattice parameters (Å, degrees): 6.219 6.219 7.614 114.10 114.10 90.00
Fractional positions:
Mg1 0.000 0.000 0.000
In1 0.750 0.250 0.500
In2 0.250 0.750 0.500
Te1 0.388 0.388 0.221
Te2 0.168 0.612 0.779
Te3 0.612 0.168 0.779
Te4 0.832 0.832 0.221



(11)
Here is crystalline Ta11Os4 at its relaxed geometry from Alexandria via LeMat-Bulk. Energies are from GGA-PBEsol.

## Properties
For the size of the total moment, the calculation gives 0.0 μB/f.u. The value obtained for the theoretical density is 18.21 g/cm3. The calculated formation energy comes out at -4.52 eV per formula unit.

Lattice parameters (Å, degrees): 5.160 9.861 9.861 90.00 90.00 90.00
Fractional positions:
Ta1 0.249 0.188 0.188
Ta2 0.500 0.000 0.000
Ta3 0.251 0.688 0.312
Ta4 0.751 0.812 0.812
Ta5 0.249 0.812 0.812
Ta6 0.500 0.603 0.603
Ta7 0.500 0.530 0.870
Ta8 0.500 0.397 0.397
Ta9 0.000 0.897 0.103
Ta10 0.000 0.370 0.970
Ta11 0.749 0.688 0.312
Ta12 0.500 0.130 0.470
Ta13 0.000 0.630 0.030
Ta14 0.000 0.030 0.630
Ta15 0.751 0.188 0.188
Ta16 0.749 0.312 0.688
Ta17 0.000 0.500 0.500
Ta18 0.000 0.970 0.370
Ta19 0.251 0.312 0.688
Ta20 0.500 0.470 0.130
Ta21 0.500 0.870 0.530
Ta22 0.000 0.103 0.897
Os1 0.500 0.939 0.258
Os2 0.500 0.061 0.742
Os3 0.000 0.561 0.758
Os4 0.000 0.242 0.439
Os5 0.500 0.258 0.939
Os6 0.000 0.439 0.242
Os7 0.000 0.758 0.561
Os8 0.500 0.742 0.061



(12)
Here is crystalline Li2HfTi at its relaxed geometry from Alexandria via LeMat-Bulk. Energies are from GGA-PBEsol.

## Properties
For the size of the total moment, the calculation gives 0.0 μB/f.u. The value obtained for the theoretical density is 5.83 g/cm3. The calculated formation energy comes out at 2.57 eV per formula unit.

Lattice parameters (Å, degrees): 5.102 5.773 5.773 78.74 63.77 63.77
Fractional positions:
Li1 0.612 0.513 0.013
Li2 0.875 0.987 0.513
Li3 0.375 0.013 0.487
Li4 0.138 0.487 0.987
Ti1 0.500 0.000 0.000
Ti2 0.250 0.500 0.500
Hf1 0.750 0.500 0.500
Hf2 0.000 0.000 0.000



(13)
Here is crystalline KAsRhSe2 at its relaxed geometry from Alexandria via LeMat-Bulk. Energies are from GGA-PBEsol.

## Properties
As for the formation energy from raw total energies: -0.121 eV/atom. For the size of the total moment, the calculation gives 0.0 μB/f.u. The value obtained for the theoretical density is 5.16 g/cm3.

Lattice parameters (Å, degrees): 4.550 5.149 5.149 90.00 90.00 90.00
Fractional positions:
Se1 0.000 0.000 0.500
Se2 0.000 0.500 0.000
Rh1 0.000 0.000 0.000
K1 0.500 0.500 0.500
As1 0.500 0.000 0.000